LiMn4Tc | GGA-PBE | optimized geometry

Calculated values
The total magnetization comes out at 0.365 μB/atom. The electronic total energy comes out at -191.81 eV/cell. The theoretical density is 7.5 g/cm3. The value obtained for the formation enthalpy at 0 K is 16.2 kJ/mol of atoms.

The structure in CIF format:
```
data_LiMn4Tc
_cell_length_a 6.5884
_cell_length_b 6.5884
_cell_length_c 6.5884
_cell_angle_alpha 90.00
_cell_angle_beta 90.00
_cell_angle_gamma 90.00
_space_group_name_H-M_alt 'F -4 3 m'
_space_group_IT_number 216
_space_group_name_Hall 'F -4 2 3'
loop_
_atom_site_label
_atom_site_type_symbol
_atom_site_fract_x
_atom_site_fract_y
_atom_site_fract_z
Li1 Li 0.0000 0.0000 0.0000
Mn1 Mn 0.1256 0.1256 0.6256
Tc1 Tc 0.2500 0.2500 0.2500
```